[1]
VASP calculation (GGA-PBE) on a relaxed OsS4 crystal.

Cell: 6.8317 4.6942 6.6263 Å, 90.00 94.44 90.00°
Atoms (fractional coordinates):
Os1 0.0000 0.0000 0.0000
Os2 0.0000 0.5000 0.5000
S1 0.1773 0.1733 0.7315
S2 0.1773 0.3267 0.2315
S3 0.2487 0.6769 0.0531
S4 0.2487 0.8231 0.5531
S5 0.7513 0.1769 0.4469
S6 0.7513 0.3231 0.9469
S7 0.8227 0.6733 0.7685
S8 0.8227 0.8267 0.2685

Summary:
DOS(E_F): 5.8 states/eV/cell
total moment: 0.000 μB/atom
VASP energy: -5.62 eV/atom


[2]
VASP calculation (GGA-PBE) on a relaxed OsS crystal.

Cell: 5.4886 7.2774 7.3464 Å, 90.00 90.00 90.00°
Atoms (fractional coordinates):
Os1 0.0102 0.2012 0.3777
Os2 0.1631 0.5076 0.8218
Os3 0.3369 0.4924 0.3218
Os4 0.4898 0.7988 0.8777
Os5 0.5102 0.2988 0.6223
Os6 0.6631 0.9924 0.1782
Os7 0.8369 0.0076 0.6782
Os8 0.9898 0.7012 0.1223
S1 0.0703 0.3877 0.1111
S2 0.0726 0.8175 0.8407
S3 0.4274 0.1825 0.3407
S4 0.4297 0.6123 0.6111
S5 0.5703 0.1123 0.8889
S6 0.5726 0.6825 0.1593
S7 0.9274 0.3175 0.6593
S8 0.9297 0.8877 0.3889

Summary:
DOS(E_F): 6.1 states/eV/cell
total moment: 0.000 μB/atom
VASP energy: -7.38 eV/atom


[3]
VASP calculation (GGA-PBE) on a relaxed OsS crystal.

Cell: 6.9604 6.9604 3.0082 Å, 90.00 90.00 90.00°
Atoms (fractional coordinates):
Os1 0.1385 0.1385 0.0000
Os2 0.3615 0.6385 0.5000
Os3 0.6385 0.3615 0.5000
Os4 0.8615 0.8615 0.0000
S1 0.1882 0.8118 0.0000
S2 0.3118 0.3118 0.5000
S3 0.6882 0.6882 0.5000
S4 0.8118 0.1882 0.0000

Summary:
DOS(E_F): 6.6 states/eV/cell
total moment: 0.000 μB/atom
VASP energy: -7.44 eV/atom


[4]
VASP calculation (GGA-PBE) on a relaxed OsS2 crystal.

Cell: 5.6621 5.6621 5.6621 Å, 90.00 90.00 90.00°
Atoms (fractional coordinates):
Os1 0.0000 0.0000 0.0000
Os2 0.0000 0.5000 0.5000
Os3 0.5000 0.0000 0.5000
Os4 0.5000 0.5000 0.0000
S1 0.1161 0.6161 0.8839
S2 0.1161 0.8839 0.3839
S3 0.3839 0.1161 0.8839
S4 0.3839 0.3839 0.3839
S5 0.6161 0.6161 0.6161
S6 0.6161 0.8839 0.1161
S7 0.8839 0.1161 0.6161
S8 0.8839 0.3839 0.1161

Summary:
DOS(E_F): 4.6 states/eV/cell
total moment: 0.000 μB/atom
VASP energy: -6.85 eV/atom


[5]
VASP calculation (GGA-PBE) on a relaxed OsS2 crystal.

Cell: 9.4215 7.2976 6.7909 Å, 83.86 50.36 45.78°
Atoms (fractional coordinates):
Os1 0.0184 0.2316 0.0184
Os2 0.2316 0.0184 0.2316
Os3 0.7684 0.9816 0.7684
Os4 0.9816 0.7684 0.9816
S1 0.0156 0.0156 0.7344
S2 0.2656 0.2656 0.9844
S3 0.2948 0.4552 0.2948
S4 0.4552 0.2948 0.4552
S5 0.5448 0.7052 0.5448
S6 0.7052 0.5448 0.7052
S7 0.7344 0.7344 0.0156
S8 0.9844 0.9844 0.2656

Summary:
DOS(E_F): 3.6 states/eV/cell
total moment: 0.000 μB/atom
VASP energy: -6.11 eV/atom


[6]
VASP calculation (GGA-PBE) on a relaxed OsS crystal.

Cell: 6.1465 6.1465 6.1465 Å, 109.47 109.47 109.47°
Atoms (fractional coordinates):
Os1 0.0000 0.0000 0.2764
Os2 0.0000 0.2764 0.0000
Os3 0.2764 0.0000 0.0000
Os4 0.7236 0.7236 0.7236
S1 0.0000 0.0000 0.6332
S2 0.0000 0.6332 0.0000
S3 0.3668 0.3668 0.3668
S4 0.6332 0.0000 0.0000

Summary:
DOS(E_F): 4.3 states/eV/cell
total moment: 0.000 μB/atom
VASP energy: -7.34 eV/atom


[7]
VASP calculation (GGA-PBE) on a relaxed Sb2OsS crystal.

Cell: 7.2147 7.2147 7.2147 Å, 128.43 128.43 75.93°
Atoms (fractional coordinates):
Sb1 0.0924 0.6250 0.9674
Sb2 0.3750 0.3424 0.4674
Sb3 0.6576 0.1250 0.0326
Sb4 0.8750 0.9076 0.5326
Os1 0.0000 0.0000 0.0000
Os2 0.7500 0.2500 0.5000
S1 0.2500 0.7500 0.5000
S2 0.5000 0.5000 0.0000

Summary:
DOS(E_F): 1.4 states/eV/cell
total moment: 0.000 μB/atom
VASP energy: -5.43 eV/atom


[8]
VASP calculation (GGA-PBE) on a relaxed Sb3OsS crystal.

Cell: 4.9994 4.9994 4.9994 Å, 90.00 90.00 90.00°
Atoms (fractional coordinates):
Sb1 0.0000 0.0000 0.5000
Sb2 0.0000 0.5000 0.0000
Sb3 0.5000 0.0000 0.0000
Os1 0.5000 0.5000 0.5000
S1 0.0000 0.0000 0.0000

Summary:
DOS(E_F): 5.4 states/eV/cell
total moment: 0.210 μB/atom
VASP energy: -4.18 eV/atom


[9]
VASP calculation (GGA-PBE) on a relaxed SbOsS2 crystal.

Cell: 9.2205 9.2205 9.2205 Å, 19.29 19.29 19.29°
Atoms (fractional coordinates):
Sb1 0.0000 0.0000 0.0000
Os1 0.5000 0.5000 0.5000
S1 0.4186 0.4186 0.4186
S2 0.5814 0.5814 0.5814

Summary:
DOS(E_F): 3.2 states/eV/cell
total moment: 0.000 μB/atom
VASP energy: -5.29 eV/atom


[10]
VASP calculation (GGA-PBE) on a relaxed SbOsS2 crystal.

Cell: 8.1697 8.1697 8.1697 Å, 25.15 25.15 25.15°
Atoms (fractional coordinates):
Sb1 0.0000 0.0000 0.0000
Os1 0.5000 0.5000 0.5000
S1 0.1168 0.1168 0.1168
S2 0.8832 0.8832 0.8832

Summary:
DOS(E_F): 2.6 states/eV/cell
total moment: 0.000 μB/atom
VASP energy: -5.89 eV/atom


[11]
VASP calculation (GGA-PBE) on a relaxed SbOsS crystal.

Cell: 7.0885 6.5977 8.1040 Å, 56.54 50.94 72.52°
Atoms (fractional coordinates):
Sb1 0.3213 0.6787 0.5240
Sb2 0.6787 0.3213 0.4760
Sb3 0.7260 0.7740 0.9287
Sb4 0.7740 0.7260 0.5713
Os1 0.0333 0.4397 0.0136
Os2 0.2364 0.7366 0.2167
Os3 0.4397 0.0333 0.5134
Os4 0.7366 0.2364 0.8103
S1 0.1546 0.3081 0.4979
S2 0.2106 0.7521 0.9419
S3 0.3081 0.1546 0.0394
S4 0.7521 0.2106 0.0954

Summary:
DOS(E_F): 5.2 states/eV/cell
total moment: 0.000 μB/atom
VASP energy: -6.48 eV/atom


[12]
VASP calculation (GGA-PBE) on a relaxed Sb3OsS crystal.

Cell: 5.1307 5.1307 5.1307 Å, 90.00 90.00 90.00°
Atoms (fractional coordinates):
Sb1 0.0000 0.0000 0.5000
Sb2 0.0000 0.5000 0.0000
Sb3 0.5000 0.0000 0.0000
Os1 0.0000 0.0000 0.0000
S1 0.5000 0.5000 0.5000

Summary:
DOS(E_F): 6.1 states/eV/cell
total moment: 0.000 μB/atom
VASP energy: -4.85 eV/atom


[13]
VASP calculation (GGA-PBE) on a relaxed SbOsS crystal.

Cell: 6.2374 6.2398 6.4189 Å, 90.00 112.90 90.00°
Atoms (fractional coordinates):
Sb1 0.1650 0.1362 0.3197
Sb2 0.1650 0.3638 0.8197
Sb3 0.8350 0.6362 0.1803
Sb4 0.8350 0.8638 0.6803
Os1 0.2495 0.5139 0.2156
Os2 0.2495 0.9861 0.7156
Os3 0.7505 0.0139 0.2844
Os4 0.7505 0.4861 0.7844
S1 0.3515 0.6234 0.6186
S2 0.3515 0.8766 0.1186
S3 0.6485 0.1234 0.8814
S4 0.6485 0.3766 0.3814

Summary:
total moment: 0.000 μB/atom
VASP energy: -6.57 eV/atom


[14]
VASP calculation (GGA-PBE) on a relaxed SbOsS2 crystal.

Cell: 6.3076 6.3076 6.3076 Å, 119.35 119.35 91.13°
Atoms (fractional coordinates):
Sb1 0.0000 0.0000 0.0000
Sb2 0.7500 0.2500 0.5000
Os1 0.2500 0.7500 0.5000
Os2 0.5000 0.5000 0.0000
S1 0.1981 0.1250 0.5731
S2 0.3750 0.8019 0.9269
S3 0.5519 0.6250 0.4269
S4 0.8750 0.4481 0.0731

Summary:
DOS(E_F): 6.6 states/eV/cell
total moment: 0.000 μB/atom
VASP energy: -5.59 eV/atom


[15]
VASP calculation (GGA-PBE) on a relaxed Sb2TeOsS crystal.

Cell: 5.0030 5.0030 4.9853 Å, 90.00 90.00 90.00°
Atoms (fractional coordinates):
Sb1 0.0000 0.5000 0.0000
Sb2 0.5000 0.0000 0.0000
Te1 0.0000 0.0000 0.5000
Os1 0.5000 0.5000 0.5000
S1 0.0000 0.0000 0.0000

Summary:
DOS(E_F): 4.5 states/eV/cell
total moment: 0.000 μB/atom
VASP energy: -3.94 eV/atom


[16]
VASP calculation (GGA-PBE) on a relaxed Sb2TeOsS crystal.

Cell: 5.1621 5.1621 5.1482 Å, 90.00 90.00 90.00°
Atoms (fractional coordinates):
Sb1 0.0000 0.5000 0.0000
Sb2 0.5000 0.0000 0.0000
Te1 0.0000 0.0000 0.5000
Os1 0.0000 0.0000 0.0000
S1 0.5000 0.5000 0.5000

Summary:
DOS(E_F): 6.4 states/eV/cell
total moment: 0.000 μB/atom
VASP energy: -4.58 eV/atom


[17]
VASP calculation (GGA-PBE) on a relaxed Th4SbOsS2 crystal.

Cell: 7.2304 4.1255 7.6113 Å, 90.00 108.93 90.00°
Atoms (fractional coordinates):
Th1 0.2346 0.0000 0.2234
Th2 0.2640 0.5000 0.7774
Th3 0.7360 0.5000 0.2226
Th4 0.7654 0.0000 0.7766
Sb1 0.5000 0.5000 0.5000
Os1 0.5000 0.0000 0.0000
S1 0.0000 0.0000 0.5000
S2 0.0000 0.5000 0.0000

Summary:
DOS(E_F): 6.2 states/eV/cell
total moment: 0.000 μB/atom
VASP energy: -7.82 eV/atom


[18]
VASP calculation (GGA-PBE) on a relaxed ScOs2S crystal.

Cell: 5.7011 5.7011 5.7011 Å, 101.45 101.45 127.09°
Atoms (fractional coordinates):
Sc1 0.0000 0.0000 0.0000
Sc2 0.7500 0.2500 0.5000
Os1 0.2122 0.6250 0.0872
Os2 0.3750 0.4622 0.5872
Os3 0.5378 0.1250 0.9128
Os4 0.8750 0.7878 0.4128
S1 0.2500 0.7500 0.5000
S2 0.5000 0.5000 0.0000

Summary:
DOS(E_F): 7.2 states/eV/cell
total moment: 0.000 μB/atom
VASP energy: -8.14 eV/atom


[19]
VASP calculation (GGA-PBE) on a relaxed Sc2OsS crystal.

Cell: 8.3924 8.3924 8.3924 Å, 22.39 22.39 22.39°
Atoms (fractional coordinates):
Sc1 0.0984 0.0984 0.0984
Sc2 0.9016 0.9016 0.9016
Os1 0.0000 0.0000 0.0000
S1 0.5000 0.5000 0.5000

Summary:
DOS(E_F): 1.8 states/eV/cell
total moment: 0.000 μB/atom
VASP energy: -7.31 eV/atom


[20]
VASP calculation (GGA-PBE) on a relaxed ScOsS2 crystal.

Cell: 8.0553 8.0553 8.0553 Å, 23.35 23.35 23.35°
Atoms (fractional coordinates):
Sc1 0.0000 0.0000 0.0000
Os1 0.5000 0.5000 0.5000
S1 0.4039 0.4039 0.4039
S2 0.5961 0.5961 0.5961

Summary:
DOS(E_F): 4.3 states/eV/cell
total moment: 0.000 μB/atom
VASP energy: -6.80 eV/atom


[21]
VASP calculation (GGA-PBE) on a relaxed Sc2OsS crystal.

Cell: 3.2214 3.2214 6.6361 Å, 90.00 90.00 90.00°
Atoms (fractional coordinates):
Sc1 0.0000 0.0000 0.2419
Sc2 0.0000 0.0000 0.7581
Os1 0.5000 0.5000 0.0000
S1 0.5000 0.5000 0.5000

Summary:
DOS(E_F): 0.9 states/eV/cell
total moment: 0.000 μB/atom
VASP energy: -7.95 eV/atom


[22]
VASP calculation (GGA-PBE) on a relaxed ScOsS2 crystal.

Cell: 4.3876 4.3876 4.3876 Å, 60.00 60.00 60.00°
Atoms (fractional coordinates):
Sc1 0.0000 0.0000 0.0000
Os1 0.5000 0.5000 0.5000
S1 0.2500 0.2500 0.2500
S2 0.7500 0.7500 0.7500

Summary:
DOS(E_F): 2.8 states/eV/cell
total moment: 0.000 μB/atom
VASP energy: -6.80 eV/atom


[23]
VASP calculation (GGA-PBE) on a relaxed ScOsS2 crystal.

Cell: 7.5459 7.5459 7.5459 Å, 28.07 28.07 28.07°
Atoms (fractional coordinates):
Sc1 0.0000 0.0000 0.0000
Os1 0.5000 0.5000 0.5000
S1 0.1154 0.1154 0.1154
S2 0.8846 0.8846 0.8846

Summary:
DOS(E_F): 5.9 states/eV/cell
total moment: 0.000 μB/atom
VASP energy: -6.64 eV/atom


[24]
VASP calculation (GGA-PBE) on a relaxed ScOsS2 crystal.

Cell: 7.4434 7.4434 7.4434 Å, 141.89 141.89 54.99°
Atoms (fractional coordinates):
Sc1 0.0000 0.0000 0.0000
Sc2 0.7500 0.2500 0.5000
Os1 0.2500 0.7500 0.5000
Os2 0.5000 0.5000 0.0000
S1 0.1633 0.6250 0.0383
S2 0.3750 0.4133 0.5383
S3 0.5867 0.1250 0.9617
S4 0.8750 0.8367 0.4617

Summary:
DOS(E_F): 4.0 states/eV/cell
total moment: 0.000 μB/atom
VASP energy: -7.04 eV/atom


[25]
VASP calculation (GGA-PBE) on a relaxed ScOs3S crystal.

Cell: 4.6841 4.6841 4.6841 Å, 90.00 90.00 90.00°
Atoms (fractional coordinates):
Sc1 0.0000 0.0000 0.0000
Os1 0.0000 0.0000 0.5000
Os2 0.0000 0.5000 0.0000
Os3 0.5000 0.0000 0.0000
S1 0.5000 0.5000 0.5000

Summary:
DOS(E_F): 9.8 states/eV/cell
total moment: 0.243 μB/atom
VASP energy: -6.09 eV/atom